An optimized crystal structure of CrPS2F. Source: the Alexandria database, functional PBE with a Hubbard U.

Cell: 4.340 4.340 4.533 Å, 90.00 90.00 90.00°
Space group P4/mmm (No. 123)
Asymmetric unit:
Cr: 0.000 0.000 0.000
P: 0.000 0.000 0.500
S: 0.000 0.500 0.000
F: 0.500 0.500 0.500

## Properties
ΔE to the lowest computed polymorph   0.000 eV per atom
VASP energy   -4.09 eV per atom